## w
Entry from Alexandria via LeMat-Bulk: a geometry-optimized NaTeIO2 structure (PBE).

Properties
total magnetic moment: 0.00 μB per atom
space group: P4/mmm

```
5
Lattice="-0.216 2.519 3.325 -1.279 -3.209 2.348 6.234 -1.408 1.472" Properties=species:S:1:pos:R:3 pbc="T T T"
Te 0.000 0.000 0.000
O -0.108 1.259 1.662
Na 2.369 -1.049 3.572
O -0.640 -1.604 1.174
I 3.117 -0.704 0.736
```



## x
Entry from Alexandria via LeMat-Bulk: a geometry-optimized NaTeIO2 structure (PBE).

Properties
total magnetic moment: 0.66 μB per atom
space group: P4/mmm

```
5
Lattice="4.492 0.000 0.000 0.000 4.492 0.000 0.000 0.000 6.242" Properties=species:S:1:pos:R:3 pbc="T T T"
O 0.000 2.246 0.000
I 0.000 0.000 3.121
O 2.246 0.000 0.000
Te 2.246 2.246 3.121
Na 0.000 0.000 0.000
```



w has the most favorable energy; the next structure is 1162 meV/atom above.



## w
Entry from Alexandria via LeMat-Bulk: a geometry-optimized NaTlIO2 structure (PBE).

Properties
total magnetic moment: 0.59 μB per atom
space group: P4/mmm

```
5
Lattice="4.823 0.000 0.000 0.000 4.823 0.000 0.000 0.000 6.221" Properties=species:S:1:pos:R:3 pbc="T T T"
Na 0.000 0.000 0.000
O 0.000 2.411 0.000
I 0.000 0.000 3.110
O 2.411 0.000 0.000
Tl 2.411 2.411 3.110
```



## x
Entry from Alexandria via LeMat-Bulk: a geometry-optimized NaTlIO2 structure (PBE).

Properties
total magnetic moment: 0.01 μB per atom
space group: P4/mmm

```
5
Lattice="-2.617 3.067 1.486 1.224 -0.902 4.019 4.846 4.375 -0.494" Properties=species:S:1:pos:R:3 pbc="T T T"
O 0.612 -0.451 2.010
Na 1.726 3.270 2.505
I 2.423 2.187 -0.247
Tl 0.000 0.000 0.000
O -1.309 1.534 0.743
```



x has the most favorable energy; the next structure is 382 meV/atom above.